Compound: Sm3Ni8Pt
Source: OQMD via LeMat-Bulk
Functional: PBE
Structure: relaxed

Values from the calculation:
- Raw total energy: -5.85 eV/atom
- Total moment: 0.85 μB per formula unit
- Energy relative to the elements: -452 meV/atom

abc: 8.7897 8.7897 8.7897
angles: 33.09 33.09 33.09
Fractional coordinates of all 12 atoms:
Ni1 0.5804 0.5804 0.0759
Ni2 0.3332 0.3332 0.3332
Ni3 0.9241 0.4196 0.4196
Ni4 0.4196 0.9241 0.4196
Ni5 0.5804 0.0759 0.5804
Ni6 0.0759 0.5804 0.5804
Ni7 0.6668 0.6668 0.6668
Ni8 0.4196 0.4196 0.9241
Pt1 0.5000 0.5000 0.5000
Sm1 0.0000 0.0000 0.0000
Sm2 0.1369 0.1369 0.1369
Sm3 0.8631 0.8631 0.8631


Compound: Sm3NiPt8
Source: OQMD via LeMat-Bulk
Functional: PBE
Structure: relaxed

Values from the calculation:
- Raw total energy: -6.55 eV/atom
- Total moment: 0.00 μB per formula unit
- Energy relative to the elements: -874 meV/atom

abc: 9.2683 9.2683 9.2683
angles: 34.11 34.11 34.11
Fractional coordinates of all 12 atoms:
Ni1 0.5000 0.5000 0.5000
Pt1 0.5882 0.5882 0.0863
Pt2 0.3328 0.3328 0.3328
Pt3 0.9137 0.4118 0.4118
Pt4 0.4118 0.9137 0.4118
Pt5 0.5882 0.0863 0.5882
Pt6 0.0863 0.5882 0.5882
Pt7 0.6672 0.6672 0.6672
Pt8 0.4118 0.4118 0.9137
Sm1 0.0000 0.0000 0.0000
Sm2 0.1402 0.1402 0.1402
Sm3 0.8598 0.8598 0.8598